1.
# ZnFeAs2Se

ZnFeAs2Se after structural relaxation (PBE, Alexandria via LeMat-Bulk).

Computed properties:
energy relative to the elements, uncorrected	0.35	eV per atom
ΔE to the lowest computed polymorph	0.0000	eV per atom

a = 4.376 Å, b = 4.376 Å, c = 5.396 Å
α = 90.00°, β = 90.00°, γ = 90.00°
Space group P4/mmm (No. 123)
Asymmetric unit:
Zn: 0.000 0.000 0.000 [1 per cell]
Fe: 0.500 0.500 0.500 [1 per cell]
As: 0.000 0.500 0.500 [2 per cell]
Se: 0.500 0.500 0.000 [1 per cell]

2.
# PrErC

PrErC after structural relaxation (PBE, Alexandria via LeMat-Bulk).

Computed properties:
formation energy	-0.170	eV/atom
ΔE to the lowest computed polymorph	0.0040	eV per atom

a = 3.649 Å, b = 5.028 Å, c = 8.035 Å
α = 90.00°, β = 90.00°, γ = 90.00°
Space group Pmmn (No. 59, origin choice 2)
Asymmetric unit:
Pr: 0.250 0.250 0.165 [2 per cell]
Er: 0.250 0.250 0.591 [2 per cell]
C: 0.250 0.750 0.618 [2 per cell]

3.
# AcTbSnN3

AcTbSnN3 after structural relaxation (PBE, Alexandria via LeMat-Bulk).

Computed properties:
energy relative to the elements, uncorrected	-0.66	eV per atom

a = 7.444 Å, b = 3.541 Å, c = 8.763 Å
α = 90.00°, β = 93.72°, γ = 90.00°
Space group P2_1/m (No. 11)
Asymmetric unit:
Ac: 0.155 0.250 0.187 [2 per cell]
Tb: 0.372 0.750 0.868 [2 per cell]
Sn: 0.167 0.250 0.589 [2 per cell]
N: 0.134 0.750 0.436 [2 per cell]
N: 0.136 0.250 0.850 [2 per cell]
N: 0.396 0.750 0.120 [2 per cell]

4.
# ErPa2N

ErPa2N after structural relaxation (PBE, Alexandria via LeMat-Bulk).

Computed properties:
energy relative to the elements, uncorrected	-0.56	eV per atom

a = 3.3853 Å, b = 3.3853 Å, c = 26.8294 Å
α = 90.00°, β = 90.00°, γ = 120.00°
Space group R-3m (No. 166, hexagonal axes)
Asymmetric unit:
Er: 0.0000 0.0000 0.0000 [3 per cell]
Pa: 0.0000 0.0000 0.2207 [6 per cell]
N: 0.0000 0.0000 0.5000 [3 per cell]

5.
# PIr2Pb

PIr2Pb after structural relaxation (PBE, Alexandria via LeMat-Bulk).

Computed properties:
formation energy	0.570	eV/atom
ΔE to the lowest computed polymorph	0.6253	eV per atom

a = 4.298 Å, b = 4.298 Å, c = 3.647 Å
α = 90.00°, β = 90.00°, γ = 90.00°
Space group P4/mmm (No. 123)
Asymmetric unit:
P: 0.000 0.000 0.000 [1 per cell]
Ir: 0.000 0.500 0.500 [2 per cell]
Pb: 0.500 0.500 0.000 [1 per cell]

6.
# Ag2GeTe

Ag2GeTe after structural relaxation (PBE, Alexandria via LeMat-Bulk).

Computed properties:
energy relative to the elements, uncorrected	0.26	eV per atom
ΔE to the lowest computed polymorph	0.0041	eV per atom

a = 7.025 Å, b = 7.025 Å, c = 7.025 Å
α = 90.00°, β = 90.00°, γ = 90.00°
Space group Fm-3m (No. 225)
Asymmetric unit:
Ag: 0.250 0.250 0.250 [8 per cell]
Ge: 0.000 0.000 0.000 [4 per cell]
Te: 0.000 0.000 0.500 [4 per cell]

7.
# Li2ZnNi

Li2ZnNi after structural relaxation (PBE, Alexandria via LeMat-Bulk).

Computed properties:
formation energy	-0.036	eV/atom

a = 2.840 Å, b = 4.215 Å, c = 8.753 Å
α = 90.00°, β = 90.00°, γ = 90.00°
Space group Cmmm (No. 65)
Asymmetric unit:
Li: 0.000 0.000 0.229 [4 per cell]
Zn: 0.000 0.500 0.500 [2 per cell]
Ni: 0.000 0.500 0.000 [2 per cell]

8.
# SmEr2ScIn4

SmEr2ScIn4 after structural relaxation (PBE, Alexandria via LeMat-Bulk).

Computed properties:
formation energy	-0.432	eV/atom

a = 5.2503 Å, b = 5.2503 Å, c = 25.8758 Å
α = 90.00°, β = 90.00°, γ = 120.00°
Space group R-3m (No. 166, hexagonal axes)
Asymmetric unit:
Sm: 0.0000 0.0000 0.0000 [3 per cell]
Er: 0.0000 0.0000 0.2490 [6 per cell]
Sc: 0.0000 0.0000 0.5000 [3 per cell]
In: 0.0000 0.0000 0.1275 [6 per cell]
In: 0.0000 0.0000 0.3779 [6 per cell]

9.
# Y2HoBi3

Y2HoBi3 after structural relaxation (PBE, Alexandria via LeMat-Bulk).

Computed properties:
formation energy	-0.877	eV/atom

a = 4.477 Å, b = 6.326 Å, c = 13.429 Å
α = 90.00°, β = 90.00°, γ = 90.00°
Space group Immm (No. 71)
Asymmetric unit:
Y: 0.000 0.000 0.167 [4 per cell]
Ho: 0.000 0.000 0.500 [2 per cell]
Bi: 0.000 0.500 0.166 [4 per cell]
Bi: 0.000 0.500 0.500 [2 per cell]

10.
# Ac9Pr4Cd11

Ac9Pr4Cd11 after structural relaxation (PBE, Alexandria via LeMat-Bulk).

Computed properties:
formation energy	-0.229	eV/atom

a = 16.989 Å, b = 24.144 Å, c = 3.869 Å
α = 90.00°, β = 90.00°, γ = 90.00°
Space group Cmmm (No. 65)
Asymmetric unit:
Ac: 0.000 0.000 0.000 [2 per cell]
Ac: 0.114 0.238 0.000 [8 per cell]
Ac: 0.122 0.415 0.000 [8 per cell]
Pr: 0.158 0.092 0.000 [8 per cell]
Cd: 0.000 0.132 0.500 [4 per cell]
Cd: 0.000 0.330 0.500 [4 per cell]
Cd: 0.000 0.500 0.500 [2 per cell]
Cd: 0.237 0.322 0.500 [8 per cell]
Cd: 0.246 0.000 0.500 [4 per cell]

11.
# La2Nd6SmTm

La2Nd6SmTm after structural relaxation (PBE, Alexandria via LeMat-Bulk).

Computed properties:
formation energy	0.110	eV/atom

a = 9.232 Å, b = 15.321 Å, c = 10.101 Å
α = 90.00°, β = 99.94°, γ = 90.00°
Space group C2/c (No. 15)
Asymmetric unit:
La: 0.243 0.048 0.041 [8 per cell]
Nd: 0.069 0.190 0.445 [8 per cell]
Nd: 0.100 0.397 0.620 [8 per cell]
Nd: 0.202 0.219 0.810 [8 per cell]
Sm: 0.000 0.013 0.750 [4 per cell]
Tm: 0.000 0.406 0.250 [4 per cell]

12.
# Fe2CoSe

Fe2CoSe after structural relaxation (PBE, Alexandria via LeMat-Bulk).

Computed properties:
energy relative to the elements, uncorrected	0.20	eV per atom

a = 3.146 Å, b = 3.944 Å, c = 8.190 Å
α = 90.00°, β = 90.00°, γ = 90.00°
Space group Imm2 (No. 44)
Asymmetric unit:
Fe: 0.000 0.000 0.000 [2 per cell]
Fe: 0.000 0.500 0.249 [2 per cell]
Co: 0.000 0.000 0.492 [2 per cell]
Se: 0.000 0.500 0.753 [2 per cell]

13.
# SnBiNF2

SnBiNF2 after structural relaxation (PBE, Alexandria via LeMat-Bulk).

Computed properties:
energy relative to the elements, uncorrected	-0.57	eV per atom
ΔE to the lowest computed polymorph	0.0412	eV per atom

a = 4.570 Å, b = 4.570 Å, c = 4.613 Å
α = 90.00°, β = 90.00°, γ = 90.00°
Space group P4/mmm (No. 123)
Asymmetric unit:
Sn: 0.000 0.000 0.000 [1 per cell]
Bi: 0.500 0.500 0.500 [1 per cell]
N: 0.500 0.500 0.000 [1 per cell]
F: 0.000 0.500 0.500 [2 per cell]

14.
# BaZr3Ga

BaZr3Ga after structural relaxation (PBE, Alexandria via LeMat-Bulk).

Computed properties:
formation energy	0.529	eV/atom
ΔE to the lowest computed polymorph	0.0000	eV per atom

a = 5.274 Å, b = 5.274 Å, c = 5.274 Å
α = 90.00°, β = 90.00°, γ = 90.00°
Space group Pm-3m (No. 221)
Asymmetric unit:
Ba: 0.000 0.000 0.000 [1 per cell]
Zr: 0.000 0.500 0.500 [3 per cell]
Ga: 0.500 0.500 0.500 [1 per cell]

15.
# SrTl2NiHg

SrTl2NiHg after structural relaxation (PBE, Alexandria via LeMat-Bulk).

Computed properties:
formation energy	-0.129	eV/atom

a = 5.083 Å, b = 5.083 Å, c = 5.737 Å
α = 90.00°, β = 90.00°, γ = 90.00°
Space group P4/mmm (No. 123)
Asymmetric unit:
Sr: 0.000 0.000 0.000 [1 per cell]
Tl: 0.000 0.500 0.500 [2 per cell]
Ni: 0.000 0.000 0.500 [1 per cell]
Hg: 0.500 0.500 0.000 [1 per cell]

16.
# YTmAl6

YTmAl6 after structural relaxation (PBE, Alexandria via LeMat-Bulk).

Computed properties:
formation energy	-0.413	eV/atom
ΔE to the lowest computed polymorph	0.0000	eV per atom

a = 6.1453 Å, b = 6.1453 Å, c = 4.7319 Å
α = 90.00°, β = 90.00°, γ = 120.00°
Space group P-6m2 (No. 187)
Asymmetric unit:
Y: 0.0000 0.0000 0.0000 [1 per cell]
Tm: 0.6667 0.3333 0.5000 [1 per cell]
Al: 0.0337 0.5169 0.0000 [3 per cell]
Al: 0.1847 0.3694 0.5000 [3 per cell]

17.
# TePRhO2

TePRhO2 after structural relaxation (PBE, Alexandria via LeMat-Bulk).

Computed properties:
energy relative to the elements, uncorrected	-0.04	eV per atom
ΔE to the lowest computed polymorph	0.0000	eV per atom

a = 3.860 Å, b = 3.860 Å, c = 5.260 Å
α = 90.00°, β = 90.00°, γ = 90.00°
Space group P4/mmm (No. 123)
Asymmetric unit:
Te: 0.000 0.000 0.000 [1 per cell]
P: 0.500 0.500 0.000 [1 per cell]
Rh: 0.500 0.500 0.500 [1 per cell]
O: 0.000 0.500 0.500 [2 per cell]

18.
# CsH2Pb

CsH2Pb after structural relaxation (PBE, Alexandria via LeMat-Bulk).

Computed properties:
ΔE to the lowest computed polymorph	0.0000	eV per atom

a = 7.108 Å, b = 6.497 Å, c = 10.572 Å
α = 90.00°, β = 90.00°, γ = 90.00°
Space group Pnma (No. 62)
Asymmetric unit:
Cs: 0.232 0.250 0.090 [4 per cell]
H: 0.085 0.040 0.851 [8 per cell]
Pb: 0.061 0.250 0.727 [4 per cell]

19.
# ScHgGeBr6

ScHgGeBr6 after structural relaxation (PBE, Alexandria via LeMat-Bulk).

Computed properties:
energy relative to the elements, uncorrected	-0.93	eV per atom

a = 6.8286 Å, b = 6.8286 Å, c = 8.5246 Å
α = 90.00°, β = 90.00°, γ = 120.00°
Space group P312 (No. 149)
Asymmetric unit:
Sc: 0.0000 0.0000 0.0000 [1 per cell]
Hg: 0.6667 0.3333 0.5000 [1 per cell]
Ge: 0.3333 0.6667 0.0000 [1 per cell]
Br: 0.0255 0.3319 0.8190 [6 per cell]

20.
# LiTl2Pd2

LiTl2Pd2 after structural relaxation (PBE, Alexandria via LeMat-Bulk).

Computed properties:
formation energy	-0.236	eV/atom
ΔE to the lowest computed polymorph	0.0312	eV per atom

a = 4.684 Å, b = 4.539 Å, c = 9.739 Å
α = 90.00°, β = 91.65°, γ = 90.00°
Space group P2_1/m (No. 11)
Asymmetric unit:
Li: 0.239 0.250 0.334 [2 per cell]
Tl: 0.242 0.250 0.665 [2 per cell]
Tl: 0.252 0.250 0.005 [2 per cell]
Pd: 0.250 0.750 0.181 [2 per cell]
Pd: 0.265 0.750 0.489 [2 per cell]